Record 1
NaSiSe: relaxed, PBE.

Lattice parameters (Å, degrees): 4.3814 4.3814 26.6846 90.00 90.00 120.00
Space group R3m (No. 160, hexagonal axes)
Inequivalent atoms, fractional coordinates:
1 Na 0.0000 0.0000 0.0000
2 Na 0.0000 0.0000 0.2222
3 Si 0.0000 0.0000 0.4960
4 Si 0.0000 0.0000 0.8012
5 Se 0.0000 0.0000 0.5867
6 Se 0.0000 0.0000 0.7176

Computed properties:
Calculated volume, Å³/f.u.: 74
Energy above the most stable polymorph in this dataset, meV/atom: 34.9
Total energy, eV/atom: -3.859


Record 2
NaSiSe: relaxed, PBE.

Lattice parameters (Å, degrees): 4.062 6.305 7.258 67.71 80.04 76.27
Space group P1 (No. 1)
Inequivalent atoms, fractional coordinates:
1 Na 0.000 0.000 0.000
2 Na 0.228 0.826 0.501
3 Si 0.247 0.308 0.159
4 Si 0.709 0.525 0.027
5 Se 0.627 0.879 0.771
6 Se 0.848 0.549 0.324

Computed properties:
Calculated volume, Å³/f.u.: 83
Energy above the most stable polymorph in this dataset, meV/atom: 37.8
Total energy, eV/atom: -3.856


Q: Which value of total energy does entry 1 give?
A: -3.859 eV/atom


Q: What is the energy above the most stable polymorph in this dataset in the second record?
A: 37.8 meV/atom


Q: The highest calculated volume belongs to which entry?
A: number 2


Q: Number 1 is which compound?
A: NaSiSe